*P*
Material: Li2FeSeO
Method: DFT, PBE+U
State: relaxed

Cell and atoms, written as extended XYZ:
```
5
Lattice="4.800 0.000 0.000 0.000 4.800 0.000 0.000 0.000 4.066" Properties=species:S:1:pos:R:3 pbc="T T T"
Li 0.000 2.400 0.000
Li 2.400 0.000 0.000
Fe 0.000 0.000 2.033
Se 2.400 2.400 0.000
O 2.400 2.400 2.033
```

Results
Space group: P4/mmm, No. 123
D(E_F), states/eV/atom: 1.78

---

*Q*
Material: Li2FeSeO
Method: DFT, PBE+U
State: relaxed

Cell and atoms, written as extended XYZ:
```
5
Lattice="4.026 0.000 0.000 0.000 4.026 0.000 0.000 0.000 4.063" Properties=species:S:1:pos:R:3 pbc="T T T"
Li 0.000 2.013 0.000
Li 2.013 0.000 0.000
Fe 0.000 0.000 2.031
Se 2.013 2.013 2.031
O 0.000 0.000 0.000
```

Results
Space group: P4/mmm, No. 123

---

If we sort the structures by their calculated energies, the order from most to least stable is *Q*, *P*.

---

*P*
Material: LiFeSiO4
Method: DFT, PBE+U
State: relaxed

Cell and atoms, written as extended XYZ:
```
14
Lattice="5.100 0.000 0.000 0.000 5.466 0.000 -5.015 0.000 6.387" Properties=species:S:1:pos:R:3 pbc="T T T"
Li 0.000 0.838 0.000
Li -2.508 4.628 3.193
Fe -2.481 1.798 4.791
Fe 0.027 3.667 1.597
Si 0.072 0.922 3.180
Si -2.436 4.544 6.374
O -0.305 1.821 1.843
O -2.813 3.645 5.037
O -2.999 0.616 6.181
O -0.492 4.850 2.988
O -0.612 1.518 4.561
O 1.895 3.947 1.367
O 1.708 0.942 3.369
O 4.215 4.523 0.175
```

Results
Space group: Pc, No. 7
D(E_F), states/eV/atom: 0.00

---

*Q*
Material: LiFeSiO4
Method: DFT, PBE+U
State: relaxed

Cell and atoms, written as extended XYZ:
```
42
Lattice="6.980 4.030 3.110 -6.980 4.030 3.110 0.000 -8.060 3.110" Properties=species:S:1:pos:R:3 pbc="T T T"
Li -5.431 1.733 3.110
Li 1.215 -5.570 3.110
Li -1.178 -2.565 4.639
Li -1.633 2.302 4.639
Li 2.810 0.263 4.639
Li 4.216 3.837 3.110
Fe -4.161 -3.857 4.645
Fe -2.869 -0.233 3.100
Fe 1.636 -2.368 3.100
Fe 1.233 2.601 3.100
Fe -1.260 5.532 4.645
Fe 5.420 -1.675 4.645
Si -1.588 -5.694 4.661
Si -4.137 4.222 4.661
Si -2.844 -0.162 6.215
Si 1.562 -2.382 6.215
Si 1.282 2.544 6.215
Si 5.725 1.471 4.661
O -2.303 -4.207 4.669
O -0.244 -2.560 2.854
O -2.095 1.491 2.854
O -4.646 -3.166 6.351
O -4.754 2.697 4.743
O 0.041 -5.465 4.743
O -2.343 -0.897 4.820
O -4.489 -0.036 6.220
O -2.492 4.098 4.669
O 2.339 1.069 2.854
O -0.071 -2.626 6.282
O -2.238 1.375 6.282
O 1.949 -1.580 4.820
O -2.317 -0.970 7.543
O 0.394 2.478 4.820
O 2.276 -3.869 6.220
O 4.794 0.109 4.669
O -0.419 5.606 6.351
O 1.999 -1.521 7.543
O 2.310 1.251 6.282
O 0.318 2.492 7.543
O 5.064 -2.441 6.351
O 4.712 2.768 4.743
O 2.213 3.906 6.220
```

Results
Space group: R3, No. 146
D(E_F), states/eV/atom: 0.00

---

If we sort the structures by their calculated energies, the order from most to least stable is *Q*, *P*.

---

*P*
Material: LiFeSiO4
Method: DFT, PBE+U
State: relaxed

Cell and atoms, written as extended XYZ:
```
28
Lattice="9.109 0.000 0.000 0.000 6.316 0.000 0.000 0.000 4.906" Properties=species:S:1:pos:R:3 pbc="T T T"
Li 1.516 1.579 0.104
Li 3.039 4.737 2.557
Li 6.070 1.579 2.349
Li 7.593 4.737 4.802
Fe 0.000 0.000 2.453
Fe 0.000 3.158 2.453
Fe 4.554 0.000 0.000
Fe 4.554 3.158 0.000
Si 1.620 4.737 0.124
Si 2.935 1.579 2.577
Si 6.174 4.737 2.329
Si 7.489 1.579 4.782
O 1.076 3.386 0.855
O 1.076 6.088 0.855
O 1.148 4.737 3.429
O 1.276 1.579 2.905
O 3.278 4.737 0.452
O 3.407 1.579 0.976
O 3.478 0.228 3.308
O 3.478 2.930 3.308
O 5.631 3.386 1.598
O 5.631 6.088 1.598
O 5.702 4.737 3.930
O 5.831 1.579 4.454
O 7.832 4.737 2.001
O 7.961 1.579 1.477
O 8.032 0.228 4.051
O 8.032 2.930 4.051
```

Results
Space group: Pnma, No. 62
D(E_F), states/eV/atom: 0.00

---

*Q*
Material: LiFeSiO4
Method: DFT, PBE+U
State: relaxed

Cell and atoms, written as extended XYZ:
```
28
Lattice="11.445 0.000 0.000 0.000 5.286 0.000 0.000 0.000 5.961" Properties=species:S:1:pos:R:3 pbc="T T T"
Li 1.934 1.012 0.000
Li 3.788 3.655 2.980
Li 7.656 1.632 0.000
Li 9.511 4.275 2.980
Fe 0.854 4.302 4.330
Fe 4.868 1.659 1.349
Fe 6.577 3.628 4.330
Fe 10.590 0.985 1.349
Si 0.979 3.631 1.399
Si 4.743 0.988 4.380
Si 6.702 4.299 1.399
Si 10.465 1.655 4.380
O 0.468 0.871 4.523
O 0.736 2.008 1.254
O 1.749 4.174 0.049
O 1.878 3.946 2.752
O 3.845 1.303 5.732
O 3.973 1.530 3.029
O 4.986 4.651 4.234
O 5.255 3.514 1.542
O 6.190 1.772 4.523
O 6.458 0.635 1.254
O 7.471 3.756 0.049
O 7.600 3.983 2.752
O 9.567 1.340 5.732
O 9.696 1.113 3.029
O 10.709 3.278 4.234
O 10.977 4.415 1.542
```

Results
Space group: Pna2_1, No. 33
D(E_F), states/eV/atom: 0.00

---

*R*
Material: LiFeSiO4
Method: DFT, PBE+U
State: relaxed

Cell and atoms, written as extended XYZ:
```
14
Lattice="5.094 0.000 0.000 0.000 5.217 0.000 -5.061 0.000 6.751" Properties=species:S:1:pos:R:3 pbc="T T T"
Li 0.000 0.950 0.000
Li -2.530 4.266 3.376
Fe 0.005 0.932 3.388
Fe 2.536 4.284 0.013
Si 2.534 1.638 1.690
Si 0.003 3.579 5.066
O -1.859 0.965 3.021
O -4.390 4.252 6.397
O 0.908 1.369 1.777
O -1.622 3.848 5.152
O 3.114 0.849 0.365
O 0.584 4.368 3.741
O 0.314 1.969 4.965
O 2.845 3.247 1.590
```

Results
Space group: Pc, No. 7
D(E_F), states/eV/atom: 0.00

---

*S*
Material: LiFeSiO4
Method: DFT, PBE+U
State: relaxed

Cell and atoms, written as extended XYZ:
```
28
Lattice="4.762 0.000 0.000 0.000 6.199 0.000 0.000 0.000 10.340" Properties=species:S:1:pos:R:3 pbc="T T T"
Li 0.112 0.147 4.806
Li 2.269 6.052 9.976
Li 2.493 2.953 5.534
Li 4.650 3.246 0.364
Fe 0.003 4.528 7.733
Fe 2.378 1.671 2.563
Fe 2.384 4.770 2.607
Fe 4.759 1.429 7.777
Si 0.399 3.227 3.518
Si 1.982 2.971 8.688
Si 2.780 6.071 6.822
Si 4.363 0.128 1.652
O 1.052 4.609 4.111
O 1.087 1.872 4.147
O 1.142 6.090 6.907
O 1.179 3.219 1.991
O 1.202 2.980 7.161
O 1.239 0.109 1.737
O 1.294 4.327 9.317
O 1.329 1.590 9.281
O 3.433 4.689 6.228
O 3.468 1.227 6.193
O 3.523 3.209 3.433
O 3.560 6.080 8.349
O 3.583 0.119 3.179
O 3.620 2.990 8.602
O 3.675 4.972 1.023
O 3.710 1.510 1.059
```

Results
Space group: P2_12_12_1, No. 19
D(E_F), states/eV/atom: 0.00

---

If we sort the structures by their calculated energies, the order from most to least stable is *R*, *P*, *Q*, *S*.

---

*P*
Material: Li2FeSiO4
Method: DFT, PBE+U
State: relaxed

Cell and atoms, written as extended XYZ:
```
16
Lattice="5.040 0.000 0.000 0.000 5.503 0.000 -4.990 0.000 6.291" Properties=species:S:1:pos:R:3 pbc="T T T"
Li 0.000 0.841 0.000
Li -2.495 4.663 3.146
Li -2.499 1.748 4.726
Li -0.004 3.755 1.580
Fe 2.540 1.830 1.520
Fe 0.045 3.674 4.666
Si -0.015 0.962 3.139
Si -2.510 4.541 6.285
O -1.666 0.957 3.147
O 0.829 4.546 0.001
O 0.480 1.779 1.780
O -2.015 3.725 4.925
O -1.953 0.595 6.278
O 0.542 4.908 3.133
O 0.524 1.721 4.515
O 3.019 3.783 1.369
```

Results
Space group: Pc, No. 7
D(E_F), states/eV/atom: 0.00

---

*Q*
Material: Li2FeSiO4
Method: DFT, PBE+U
State: relaxed

Cell and atoms, written as extended XYZ:
```
24
Lattice="5.069 0.000 0.000 -2.535 4.390 0.000 0.000 0.000 11.640" Properties=species:S:1:pos:R:3 pbc="T T T"
Li -1.120 2.955 4.820
Li 0.535 1.942 8.700
Li 1.415 1.435 2.940
Li 0.585 3.882 0.940
Li 3.120 0.508 6.820
Li 3.070 2.448 10.700
Fe -1.379 2.388 1.940
Fe 1.156 2.002 5.820
Fe 2.757 0.000 9.700
Si -2.049 3.548 7.760
Si 0.486 0.842 0.000
Si 4.097 0.000 3.880
O -1.146 2.980 9.022
O -0.005 1.269 4.322
O -1.433 3.760 0.442
O 1.101 0.630 7.318
O 0.527 1.907 1.262
O 1.388 1.410 10.377
O 0.619 3.892 5.142
O 3.154 0.498 2.618
O 1.438 3.751 8.202
O 2.529 3.121 3.438
O 3.973 0.639 11.198
O 3.061 2.483 6.498
```

Results
Space group: P3_121, No. 152
D(E_F), states/eV/atom: 0.00

---

If we sort the structures by their calculated energies, the order from most to least stable is *P*, *Q*.

---

*P*
Material: Li2FeSiO4
Method: DFT, PBE+U
State: relaxed

Cell and atoms, written as extended XYZ:
```
32
Lattice="6.331 0.000 0.000 0.000 5.141 0.000 -0.362 0.000 10.961" Properties=species:S:1:pos:R:3 pbc="T T T"
Li -0.021 0.993 1.835
Li -0.202 1.577 7.315
Li 1.056 1.062 10.151
Li 1.237 1.508 4.671
Li 4.733 3.633 6.290
Li 4.914 4.078 0.809
Li 6.171 3.564 3.646
Li 5.990 4.148 9.126
Fe 2.996 3.591 3.759
Fe 2.815 4.120 9.239
Fe 3.154 1.021 1.722
Fe 2.974 1.549 7.202
Si 1.542 3.578 0.995
Si 1.361 4.134 6.475
Si 4.608 1.007 4.486
Si 4.427 1.563 9.966
O 0.084 3.561 7.297
O 0.265 4.151 1.817
O 1.343 0.649 6.441
O 1.524 1.921 0.961
O 1.407 3.537 4.935
O 1.226 4.175 10.415
O 2.809 3.684 7.232
O 2.990 4.028 1.752
O 2.980 1.113 9.209
O 3.161 1.457 3.728
O 4.743 0.966 0.546
O 4.562 1.604 6.026
O 4.446 3.220 10.000
O 4.627 4.492 4.520
O 5.704 0.990 9.144
O 5.885 1.580 3.664
```

Results
Space group: P2_1/c, No. 14
D(E_F), states/eV/atom: 0.00

---

*Q*
Material: Li2FeSiO4
Method: DFT, PBE+U
State: relaxed

Cell and atoms, written as extended XYZ:
```
16
Lattice="4.468 0.000 0.000 0.000 4.468 0.000 0.000 0.000 8.609" Properties=species:S:1:pos:R:3 pbc="T T T"
Li 0.000 2.234 2.152
Li 0.000 2.234 6.457
Li 2.234 0.000 2.152
Li 2.234 0.000 6.457
Fe 0.000 0.000 0.000
Fe 2.234 2.234 4.305
Si 0.000 0.000 4.305
Si 2.234 2.234 0.000
O 0.955 0.955 3.345
O 0.955 3.514 5.265
O 1.279 1.279 7.650
O 1.279 3.189 0.960
O 3.189 1.279 0.960
O 3.189 3.189 7.650
O 3.514 0.955 5.265
O 3.514 3.514 3.345
```

Results
Space group: I-42m, No. 121
D(E_F), states/eV/atom: 0.00

---

*R*
Material: Li2FeSiO4
Method: DFT, PBE+U
State: relaxed

Cell and atoms, written as extended XYZ:
```
16
Lattice="6.339 0.000 0.000 0.000 5.408 0.000 0.000 0.000 5.015" Properties=species:S:1:pos:R:3 pbc="T T T"
Li 1.583 0.909 0.000
Li 1.587 4.499 2.507
Li 4.756 0.909 0.000
Li 4.752 4.499 2.507
Fe 0.000 1.779 2.529
Fe 3.170 3.629 0.022
Si 0.000 3.625 4.974
Si 3.170 1.783 2.467
O 0.000 2.041 0.453
O 0.000 3.675 3.324
O 1.357 4.404 0.509
O 1.813 1.004 3.016
O 3.170 1.734 0.816
O 3.170 3.368 2.960
O 4.526 1.004 3.016
O 4.983 4.404 0.509
```

Results
Space group: Pmn2_1, No. 31
D(E_F), states/eV/atom: 0.00

---

If we sort the structures by their calculated energies, the order from most to least stable is *R*, *Q*, *P*.

---

*P*
Material: Li2FeSi3O8
Method: DFT, PBE+U
State: relaxed

Cell and atoms, written as extended XYZ:
```
28
Lattice="6.524 0.000 0.000 0.000 8.287 0.000 -2.311 0.000 6.550" Properties=species:S:1:pos:R:3 pbc="T T T"
Li 0.514 0.000 0.421
Li 0.224 4.125 4.827
Li 3.989 8.268 1.724
Li 3.699 4.143 6.129
Fe 2.812 5.593 0.812
Fe 1.400 1.450 5.739
Si -0.452 1.698 2.955
Si 0.733 7.069 2.887
Si 1.647 2.772 1.148
Si 2.566 6.916 5.403
Si 3.479 2.926 3.664
Si 4.665 5.841 3.595
O 0.055 2.507 1.598
O -0.232 0.100 2.634
O -0.203 5.900 3.602
O 1.667 4.013 0.091
O 0.206 2.222 4.305
O 1.268 6.713 1.423
O 2.267 1.353 0.636
O 1.836 7.474 4.017
O 2.377 3.331 2.533
O 1.946 5.496 5.914
O 2.945 2.570 5.128
O 4.006 6.366 2.245
O 2.545 8.156 6.460
O 4.415 1.756 2.948
O 4.444 4.244 3.916
O 4.158 6.651 4.952
```

Results
Space group: P2_1, No. 4
D(E_F), states/eV/atom: 0.00

---

*Q*
Material: Li2FeSi3O8
Method: DFT, PBE+U
State: relaxed

Cell and atoms, written as extended XYZ:
```
14
Lattice="5.090 0.000 0.000 1.612 6.033 0.000 1.953 1.026 5.886" Properties=species:S:1:pos:R:3 pbc="T T T"
Li 0.000 0.000 0.000
Li 3.587 1.948 1.963
Fe 5.075 5.014 2.104
Si 4.782 2.782 4.502
Si 7.365 4.156 5.260
Si 7.510 6.335 3.133
O 3.283 2.799 5.244
O 2.360 0.550 2.770
O 4.611 3.327 3.010
O 5.827 3.559 5.556
O 5.436 1.265 4.444
O 4.903 0.474 1.870
O 5.899 4.209 0.443
O 7.309 4.798 3.748
```

Results
Space group: P1, No. 1
D(E_F), states/eV/atom: 0.00

---

If we sort the structures by their calculated energies, the order from most to least stable is *P*, *Q*.